# Hf2Zr3Fe2 | Alexandria | PBE | optimized geometry
data_Hf2Zr3Fe2
_cell_length_a 11.008
_cell_length_b 3.269
_cell_length_c 8.258
_cell_angle_alpha 90.00
_cell_angle_beta 114.66
_cell_angle_gamma 90.00
_symmetry_space_group_name_H-M 'C 1 2/m 1'
_symmetry_Int_Tables_number 12
loop_
_symmetry_equiv_pos_as_xyz
'x,y,z'
'-x,-y,-z'
'-x,y,-z'
'x,-y,z'
'x+1/2,y+1/2,z'
'-x+1/2,-y+1/2,-z'
'-x+1/2,y+1/2,-z'
'x+1/2,-y+1/2,z'
loop_
_atom_site_label
_atom_site_type_symbol
_atom_site_fract_x
_atom_site_fract_y
_atom_site_fract_z
_atom_site_occupancy
Hf1 Hf 0.164 0.000 0.322 1
Zr1 Zr 0.000 0.500 0.500 1
Zr2 Zr 0.115 0.500 0.936 1
Fe1 Fe 0.176 0.000 0.737 1
# ΔH_f (0 K)	-0.1253	eV per atom
# DOS(E_F)	1.253	states/eV/atom

# Zr2ZnCl | Alexandria | PBE | optimized geometry
data_Zr2ZnCl
_cell_length_a 6.723
_cell_length_b 6.723
_cell_length_c 6.723
_cell_angle_alpha 90.00
_cell_angle_beta 90.00
_cell_angle_gamma 90.00
_symmetry_space_group_name_H-M 'F m -3 m'
_symmetry_Int_Tables_number 225
_symmetry_space_group_name_Hall '-F 4 2 3'
loop_
_atom_site_label
_atom_site_type_symbol
_atom_site_fract_x
_atom_site_fract_y
_atom_site_fract_z
_atom_site_occupancy
Zr1 Zr 0.250 0.250 0.250 1
Zn1 Zn 0.000 0.000 0.000 1
Cl1 Cl 0.000 0.000 0.500 1
# raw total energy	-5.198	eV per atom
# DOS(E_F)	2.122	states/eV/atom

# TcAs2Br | Alexandria | PBE | optimized geometry
data_TcAs2Br
_cell_length_a 6.558
_cell_length_b 6.558
_cell_length_c 6.558
_cell_angle_alpha 90.00
_cell_angle_beta 90.00
_cell_angle_gamma 90.00
_symmetry_space_group_name_H-M 'F -4 3 m'
_symmetry_Int_Tables_number 216
_symmetry_space_group_name_Hall 'F -4 2 3'
loop_
_atom_site_label
_atom_site_type_symbol
_atom_site_fract_x
_atom_site_fract_y
_atom_site_fract_z
_atom_site_occupancy
Tc1 Tc 0.000 0.000 0.000 1
As1 As 0.000 0.000 0.500 1
As2 As 0.250 0.250 0.250 1
Br1 Br 0.250 0.250 0.750 1
# raw total energy	-4.653	eV per atom
# DOS(E_F)	0.821	states/eV/atom

# Cs2Tl5Au3 | Alexandria | PBE | optimized geometry
data_Cs2Tl5Au3
_cell_length_a 11.228
_cell_length_b 15.700
_cell_length_c 7.691
_cell_angle_alpha 90.00
_cell_angle_beta 90.00
_cell_angle_gamma 90.00
_symmetry_space_group_name_H-M 'I b a m'
_symmetry_Int_Tables_number 72
_symmetry_space_group_name_Hall '-I 2 2c'
loop_
_atom_site_label
_atom_site_type_symbol
_atom_site_fract_x
_atom_site_fract_y
_atom_site_fract_z
_atom_site_occupancy
Cs1 Cs 0.234 0.121 0.000 1
Tl1 Tl 0.000 0.271 0.250 1
Tl2 Tl 0.000 0.500 0.250 1
Tl3 Tl 0.114 0.120 0.500 1
Au1 Au 0.000 0.000 0.250 1
Au2 Au 0.126 0.383 0.000 1
# ΔH_f (0 K)	-0.1383	eV per atom
# DOS(E_F)	0.551	states/eV/atom

# Dy6PdRh5 | Alexandria | PBE | optimized geometry
data_Dy6PdRh5
_cell_length_a 4.823
_cell_length_b 6.981
_cell_length_c 7.627
_cell_angle_alpha 90.00
_cell_angle_beta 108.25
_cell_angle_gamma 90.00
_symmetry_space_group_name_H-M 'P 1 2/m 1'
_symmetry_Int_Tables_number 10
loop_
_symmetry_equiv_pos_as_xyz
'x,y,z'
'-x,-y,-z'
'-x,y,-z'
'x,-y,z'
loop_
_atom_site_label
_atom_site_type_symbol
_atom_site_fract_x
_atom_site_fract_y
_atom_site_fract_z
_atom_site_occupancy
Dy1 Dy 0.000 0.246 0.000 1
Dy2 Dy 0.332 0.249 0.663 1
Pd1 Pd 0.500 0.500 0.000 1
Rh1 Rh 0.166 0.500 0.332 1
Rh2 Rh 0.167 0.000 0.333 1
Rh3 Rh 0.500 0.000 0.000 1
# ΔH_f (0 K)	-0.8808	eV per atom
# DOS(E_F)	0.520	states/eV/atom

# CrInSnBr6 | Alexandria | PBE | optimized geometry
data_CrInSnBr6
_cell_length_a 7.2638
_cell_length_b 7.2638
_cell_length_c 6.9023
_cell_angle_alpha 90.00
_cell_angle_beta 90.00
_cell_angle_gamma 120.00
_symmetry_space_group_name_H-M 'P 3 1 2'
_symmetry_Int_Tables_number 149
loop_
_symmetry_equiv_pos_as_xyz
'x,y,z'
'-y,x-y,z'
'-x+y,-x,z'
'-y,-x,-z'
'-x+y,y,-z'
'x,x-y,-z'
loop_
_atom_site_label
_atom_site_type_symbol
_atom_site_fract_x
_atom_site_fract_y
_atom_site_fract_z
_atom_site_occupancy
Cr1 Cr 0.0000 0.0000 0.0000 1
In1 In 0.3333 0.6667 0.5000 1
Sn1 Sn 0.6667 0.3333 0.0000 1
Br1 Br 0.2866 0.0076 0.2173 1
# raw total energy	-3.658	eV per atom

# Y2NbFe2 | Alexandria | PBE | optimized geometry
data_Y2NbFe2
_cell_length_a 6.445
_cell_length_b 6.445
_cell_length_c 4.690
_cell_angle_alpha 90.00
_cell_angle_beta 90.00
_cell_angle_gamma 90.00
_symmetry_space_group_name_H-M 'P 4/m b m'
_symmetry_Int_Tables_number 127
_symmetry_space_group_name_Hall '-P 4 2ab'
loop_
_atom_site_label
_atom_site_type_symbol
_atom_site_fract_x
_atom_site_fract_y
_atom_site_fract_z
_atom_site_occupancy
Y1 Y 0.181 0.319 0.000 1
Nb1 Nb 0.000 0.000 0.500 1
Fe1 Fe 0.119 0.619 0.500 1
# ΔH_f (0 K)	0.0819	eV per atom
# DOS(E_F)	1.023	states/eV/atom

# LiAc2PaS5 | Alexandria | PBE | optimized geometry
data_LiAc2PaS5
_cell_length_a 4.115
_cell_length_b 17.043
_cell_length_c 12.346
_cell_angle_alpha 90.00
_cell_angle_beta 90.00
_cell_angle_gamma 90.00
_symmetry_space_group_name_H-M 'C m c 21'
_symmetry_Int_Tables_number 36
loop_
_symmetry_equiv_pos_as_xyz
'x,y,z'
'-x,-y,z+1/2'
'-x,y,z'
'x,-y,z+1/2'
'x+1/2,y+1/2,z'
'-x+1/2,-y+1/2,z+1/2'
'-x+1/2,y+1/2,z'
'x+1/2,-y+1/2,z+1/2'
loop_
_atom_site_label
_atom_site_type_symbol
_atom_site_fract_x
_atom_site_fract_y
_atom_site_fract_z
_atom_site_occupancy
Li1 Li 0.000 0.018 0.000 1
Ac1 Ac 0.000 0.372 0.831 1
Ac2 Ac 0.000 0.389 0.220 1
Pa1 Pa 0.000 0.302 0.534 1
S1 S 0.000 0.002 0.308 1
S2 S 0.000 0.140 0.531 1
S3 S 0.000 0.191 0.883 1
S4 S 0.000 0.209 0.186 1
S5 S 0.000 0.452 0.586 1
# raw total energy	-6.320	eV per atom
# DOS(E_F)	0.551	states/eV/atom

# FeCoPb2 | Alexandria | PBE | optimized geometry
data_FeCoPb2
_cell_length_a 4.089
_cell_length_b 3.827
_cell_length_c 9.965
_cell_angle_alpha 90.00
_cell_angle_beta 90.00
_cell_angle_gamma 90.00
_symmetry_space_group_name_H-M 'A m m 2'
_symmetry_Int_Tables_number 38
loop_
_symmetry_equiv_pos_as_xyz
'x,y,z'
'-x,-y,z'
'-x,y,z'
'x,-y,z'
'x,y+1/2,z+1/2'
'-x,-y+1/2,z+1/2'
'-x,y+1/2,z+1/2'
'x,-y+1/2,z+1/2'
loop_
_atom_site_label
_atom_site_type_symbol
_atom_site_fract_x
_atom_site_fract_y
_atom_site_fract_z
_atom_site_occupancy
Fe1 Fe 0.000 0.000 0.000 1
Co1 Co 0.500 0.000 0.877 1
Pb1 Pb 0.000 0.000 0.290 1
Pb2 Pb 0.500 0.000 0.584 1
# ΔH_f (0 K)	0.3824	eV per atom
# DOS(E_F)	0.924	states/eV/atom

# CrMoSe2 | Alexandria | PBE | optimized geometry
data_CrMoSe2
_cell_length_a 6.454
_cell_length_b 6.454
_cell_length_c 6.454
_cell_angle_alpha 90.00
_cell_angle_beta 90.00
_cell_angle_gamma 90.00
_symmetry_space_group_name_H-M 'F -4 3 m'
_symmetry_Int_Tables_number 216
_symmetry_space_group_name_Hall 'F -4 2 3'
loop_
_atom_site_label
_atom_site_type_symbol
_atom_site_fract_x
_atom_site_fract_y
_atom_site_fract_z
_atom_site_occupancy
Cr1 Cr 0.000 0.000 0.000 1
Mo1 Mo 0.250 0.250 0.750 1
Se1 Se 0.000 0.000 0.500 1
Se2 Se 0.250 0.250 0.250 1
# raw total energy	-6.236	eV per atom
# DOS(E_F)	0.551	states/eV/atom

# Rb4Cl3F12 | Alexandria | PBE | optimized geometry
data_Rb4Cl3F12
_cell_length_a 9.665
_cell_length_b 9.665
_cell_length_c 9.665
_cell_angle_alpha 90.00
_cell_angle_beta 90.00
_cell_angle_gamma 90.00
_symmetry_space_group_name_H-M 'I m -3'
_symmetry_Int_Tables_number 204
_symmetry_space_group_name_Hall '-I 2 2 3'
loop_
_atom_site_label
_atom_site_type_symbol
_atom_site_fract_x
_atom_site_fract_y
_atom_site_fract_z
_atom_site_occupancy
Rb1 Rb 0.250 0.250 0.250 1
Cl1 Cl 0.000 0.000 0.500 1
F1 F 0.000 0.354 0.134 1
# raw total energy	-3.196	eV per atom
# DOS(E_F)	0.428	states/eV/atom

# FeCu2Si | Alexandria | PBE | optimized geometry
data_FeCu2Si
_cell_length_a 3.401
_cell_length_b 3.401
_cell_length_c 17.858
_cell_angle_alpha 90.00
_cell_angle_beta 90.00
_cell_angle_gamma 90.00
_symmetry_space_group_name_H-M 'I -4 2 d'
_symmetry_Int_Tables_number 122
_symmetry_space_group_name_Hall 'I -4 2bw'
loop_
_atom_site_label
_atom_site_type_symbol
_atom_site_fract_x
_atom_site_fract_y
_atom_site_fract_z
_atom_site_occupancy
Fe1 Fe 0.000 0.000 0.000 1
Cu1 Cu 0.248 0.250 0.625 1
Si1 Si 0.000 0.000 0.500 1
# raw total energy	-5.274	eV per atom
# DOS(E_F)	0.380	states/eV/atom

no.,total magnetization (μB per formula unit)
1,0.00
2,0.00
3,0.00
4,0.00
5,0.00
6,3.00
7,0.93
8,1.30
9,3.60
10,2.22
11,1.03
12,2.05